No. 1
Here is a relaxed structure of Tm4Se5S from Alexandria via LeMat-Bulk. Energies are from PBE-GGA.

Calculated values
Energy: -115.28 eV/cell
Energy relative to the elements, uncorrected: -1.820 eV per atom
Crystal system: monoclinic
Total magnetization: 0.0 μB/f.u.

abc: 17.5158 4.0127 8.0894
angles: 90.00 104.95 90.00
Last column: nearest neighbours and their distance in Å.
Space group C2/m (No. 12)
Symmetry-distinct sites (fractional):
Tm: 0.0026 0.0000 0.2561 (multiplicity 4)  4 Se 2.70-2.82, 2 S 2.88
Tm: 0.1750 0.5000 0.1108 (multiplicity 4)  5 Se 2.75-2.86, 1 S 2.96
Se: 0.0000 0.5000 0.5000 (multiplicity 2)  4 Tm 2.82
Se: 0.1620 0.0000 0.3342 (multiplicity 4)  3 Tm 2.70-2.75
Se: 0.1624 0.0000 0.8528 (multiplicity 4)  4 Tm 2.79-2.86
S: 0.0000 0.5000 0.0000 (multiplicity 2)  6 Tm 2.88-2.96

---

No. 2
Here is a relaxed structure of Tm2SeS from Alexandria via LeMat-Bulk. Energies are from PBE-GGA.

Calculated values
Energy above the most stable polymorph in this dataset: 0 meV per atom
Energy: -71.58 eV/cell
Energy relative to the elements, uncorrected: -1.826 eV per atom
Crystal system: trigonal
Total magnetization: 0.0 μB/f.u.

abc: 3.8341 3.8341 20.3871
angles: 90.00 90.00 120.00
Last column: nearest neighbours and their distance in Å.
Space group R3m (No. 160, hexagonal axes)
Symmetry-distinct sites (fractional):
Tm: 0.0000 0.0000 0.0000 (multiplicity 3)  3 S 2.71, 3 Se 2.92
Tm: 0.0000 0.0000 0.1849 (multiplicity 3)  3 S 2.66, 3 Se 2.89
Se: 0.0000 0.0000 0.7603 (multiplicity 3)  6 Tm 2.89-2.92
S: 0.0000 0.0000 0.5903 (multiplicity 3)  6 Tm 2.66-2.71